# 1
SiMoIrS2 | GGA-PBEsol | optimized geometry

a = 4.3544 Å, b = 4.3544 Å, c = 4.5160 Å
α = 90.00°, β = 90.00°, γ = 90.00°
Fractional coordinates of all 5 atoms:
1 Si 0.0000 0.0000 0.0000
2 Mo 0.5000 0.5000 0.5000
3 Ir 0.0000 0.0000 0.5000
4 S 0.0000 0.5000 0.0000
5 S 0.5000 0.0000 0.0000

Output
E   -30.891 eV/cell
D(E_F)   3.80 states/eV per cell
Volume   17.13 Å³ per atom

---

# 2
Sb2MoIr | GGA-PBEsol | optimized geometry

a = 6.3033 Å, b = 6.3033 Å, c = 6.3033 Å
α = 146.71°, β = 146.38°, γ = 48.04°
Fractional coordinates of all 4 atoms:
1 Sb 0.0000 0.0000 0.0000
2 Sb 0.7600 0.2600 0.5000
3 Mo 0.5864 0.5864 0.0000
4 Ir 0.3292 0.8292 0.5000

Output
Energy relative to the lowest polymorph listed for this composition   8 meV per atom
D(E_F)   1.91 states/eV per cell
Volume   18.95 Å³ per atom

---

# 3
Sb2MoIr | GGA-PBEsol | optimized geometry

a = 3.3238 Å, b = 3.3238 Å, c = 6.3430 Å
α = 90.00°, β = 90.00°, γ = 90.00°
Fractional coordinates of all 4 atoms:
1 Sb 0.0000 0.0000 0.2464
2 Sb 0.0000 0.0000 0.7536
3 Mo 0.5000 0.5000 0.0000
4 Ir 0.5000 0.5000 0.5000

Output
Energy relative to the lowest polymorph listed for this composition   0 meV per atom
D(E_F)   3.53 states/eV per cell
Volume   17.52 Å³ per atom

---

# 4
SbMoIr | GGA-PBEsol | optimized geometry

a = 4.4672 Å, b = 4.4672 Å, c = 2.8697 Å
α = 90.00°, β = 90.00°, γ = 120.00°
Fractional coordinates of all 3 atoms:
1 Sb 0.0000 0.0000 0.0000
2 Mo 0.6667 0.3333 0.5000
3 Ir 0.3333 0.6667 0.0000

Output
E   -25.390 eV/cell
D(E_F)   3.00 states/eV per cell
Volume   16.53 Å³ per atom

---

# 5
Sb2MoIr | GGA-PBEsol | optimized geometry

a = 5.4019 Å, b = 5.4019 Å, c = 3.0246 Å
α = 105.67°, β = 105.67°, γ = 108.49°
Fractional coordinates of all 4 atoms:
1 Sb 0.0000 0.5000 0.0000
2 Sb 0.5000 0.0000 0.0000
3 Mo 0.0000 0.0000 0.5000
4 Ir 0.5000 0.5000 0.5000

Output
Energy relative to the lowest polymorph listed for this composition   322 meV per atom
D(E_F)   3.41 states/eV per cell
Volume   18.55 Å³ per atom

---

# 6
ScMoIr3 | GGA-PBEsol | optimized geometry

a = 4.6495 Å, b = 4.6495 Å, c = 4.6495 Å
α = 90.00°, β = 90.00°, γ = 90.00°
Fractional coordinates of all 5 atoms:
1 Sc 0.0000 0.0000 0.0000
2 Mo 0.5000 0.5000 0.5000
3 Ir 0.0000 0.5000 0.5000
4 Ir 0.5000 0.0000 0.5000
5 Ir 0.5000 0.5000 0.0000

Output
Energy of formation from the pure elements   0.9964 eV per atom
D(E_F)   4.54 states/eV per cell
Volume   20.10 Å³ per atom

---

# 7
MoIrSe2 | GGA-PBEsol | optimized geometry

a = 8.4282 Å, b = 8.4282 Å, c = 8.4282 Å
α = 21.04°, β = 21.04°, γ = 21.04°
Fractional coordinates of all 4 atoms:
1 Mo 0.0000 0.0000 0.0000
2 Ir 0.5000 0.5000 0.5000
3 Se 0.4049 0.4049 0.4049
4 Se 0.5951 0.5951 0.5951

Output
Energy relative to the lowest polymorph listed for this composition   90 meV per atom
D(E_F)   2.18 states/eV per cell
Volume   16.90 Å³ per atom

---

# 8
MoIrSe2 | GGA-PBEsol | optimized geometry

a = 2.9211 Å, b = 2.9211 Å, c = 8.0699 Å
α = 90.00°, β = 90.00°, γ = 90.00°
Fractional coordinates of all 4 atoms:
1 Mo 0.0000 0.0000 0.0000
2 Ir 0.5000 0.5000 0.7728
3 Se 0.0000 0.0000 0.5573
4 Se 0.5000 0.5000 0.1907

Output
Energy relative to the lowest polymorph listed for this composition   0 meV per atom
D(E_F)   2.35 states/eV per cell
Volume   17.21 Å³ per atom

---

Which of these has the lowest D(E_F)?
number 2

---

What is the D(E_F) in the first record?
3.80 states/eV per cell